# 1
CsMnIn2Br8 | PBE | optimized geometry

Lattice parameters (Å, degrees): 7.0826 7.0826 10.9962 71.21 71.21 60.00
Element x y z (fractional)
Cs 0.5000 0.5000 0.5000
Mn 0.0000 0.0000 0.0000
In 0.2612 0.2612 0.2164
In 0.7388 0.7388 0.7836
Br 0.1764 0.1764 0.4709
Br 0.6537 0.2705 0.1529
Br 0.8236 0.8236 0.5291
Br 0.9229 0.6537 0.1529
Br 0.0771 0.3463 0.8471
Br 0.2705 0.9229 0.1529
Br 0.7295 0.0771 0.8471
Br 0.3463 0.7295 0.8471

# 2
Cs3Mn2InBr9 | PBE | optimized geometry

Lattice parameters (Å, degrees): 7.8337 7.8337 9.6106 90.00 90.00 120.00
Element x y z (fractional)
Cs 0.3333 0.6667 0.6692
Cs 0.0000 0.0000 0.0000
Cs 0.6667 0.3333 0.3308
Mn 0.3333 0.6667 0.1596
Mn 0.6667 0.3333 0.8404
In 0.0000 0.0000 0.5000
Br 0.8255 0.1745 0.6773
Br 0.8255 0.6510 0.6773
Br 0.3490 0.1745 0.6773
Br 0.6510 0.8255 0.3227
Br 0.1745 0.3490 0.3227
Br 0.1745 0.8255 0.3227
Br 0.5000 0.0000 0.0000
Br 0.0000 0.5000 0.0000
Br 0.5000 0.5000 0.0000

no.,DOS(E_F) (states/eV/atom),mass density (Mg/m³),E_form (uncorrected) (eV per atom)
1,0.439,4.0,-0.890
2,0.223,4.4,-1.188